1.
GGA-PBE NaIn6Pt, optimized geometry; SG = P4/mmm, No. 123; Fermi-level density of states = 0.30 states/eV per atom; final energy = -3.177 eV/atom; total magnetic moment = 0.000 μB/f.u.
1.0
-1.583 -3.536 2.455
0.611 -2.774 -3.601
9.398 -2.020 3.150
Na In Pt
1 6 1
Direct
0.000 0.000 0.000
0.500 0.000 0.660
0.000 0.500 0.660
0.500 0.500 0.142
0.500 0.500 0.858
0.000 0.500 0.340
0.500 0.000 0.340
0.000 0.000 0.500

---

2.
GGA-PBE NaInPt2, optimized geometry; SG = I-42d, No. 122; Fermi-level density of states = 0.28 states/eV per atom; final energy = -4.068 eV/atom; total magnetic moment = 0.000 μB/f.u.
1.0
-2.649 -4.367 -5.559
-0.762 -5.726 4.861
-4.329 -4.200 0.236
Na Pt In
2 4 2
Direct
0.500 0.500 0.000
0.250 0.750 0.500
0.647 0.125 0.250
0.103 0.625 0.250
0.375 0.353 0.750
0.875 0.897 0.750
0.000 0.000 0.000
0.750 0.250 0.500

---

3.
GGA-PBE NaInPt3, optimized geometry; SG = Pm-3m, No. 221; Fermi-level density of states = 0.42 states/eV per atom; final energy = -3.796 eV/atom; total magnetic moment = 0.000 μB/f.u.
1.0
5.026 0.000 0.000
0.000 5.026 0.000
0.000 0.000 5.026
Na Pt In
1 3 1
Direct
0.500 0.500 0.500
0.000 0.500 0.000
0.000 0.000 0.500
0.500 0.000 0.000
0.000 0.000 0.000

---

4.
GGA-PBE Na3In6Pt5, optimized geometry; SG = Pmmn, No. 59; Fermi-level density of states = 0.27 states/eV per atom; final energy = -4.046 eV/atom; total magnetic moment = 0.000 μB/f.u.
1.0
4.421 0.000 0.000
0.000 9.786 0.000
0.000 0.000 13.950
Na In Pt
6 12 10
Direct
0.000 0.250 0.705
0.500 0.750 0.205
0.500 0.750 0.795
0.000 0.279 0.000
0.500 0.721 0.500
0.000 0.250 0.295
0.000 0.971 0.841
0.500 0.029 0.659
0.500 0.413 0.816
0.500 0.616 0.000
0.000 0.384 0.500
0.000 0.587 0.684
0.000 0.587 0.316
0.500 0.979 0.000
0.000 0.971 0.159
0.500 0.413 0.184
0.000 0.021 0.500
0.500 0.029 0.341
0.000 0.557 0.885
0.000 0.862 0.660
0.000 0.802 0.000
0.500 0.443 0.615
0.500 0.198 0.500
0.000 0.557 0.115
0.500 0.443 0.385
0.000 0.862 0.340
0.500 0.138 0.840
0.500 0.138 0.160